Density functional theory data (GGA-PBE) for crystalline ReNiBr3 at its relaxed geometry.

abc: 4.9619 4.9619 4.9619
angles: 90.00 90.00 90.00
With the nearest neighbours (Å) after each atom.
Fractional positions:
Ni 0.0000 0.0000 0.0000  6 Br 2.48
Br 0.5000 0.0000 0.0000  2 Ni 2.48
Br 0.0000 0.0000 0.5000  2 Ni 2.48
Br 0.0000 0.5000 0.0000  2 Ni 2.48
Re 0.5000 0.5000 0.5000  12 Br 3.51

Results
spin magnetization: 5.48 μB/f.u.
E_form (uncorrected): 985 meV per atom
space group: Pm-3m
energy: -18.3 eV for the cell shown

Density functional theory data (GGA-PBE) for crystalline Pt3W5 at its relaxed geometry.

abc: 7.8494 7.8494 4.9293
angles: 90.00 90.00 120.00
With the nearest neighbours (Å) after each atom.
Fractional positions:
W 0.6667 0.3333 0.0000  2 W 2.46, 6 Pt 2.68
W 0.7991 0.0000 0.7500  6 W 2.73-2.93, 4 Pt 2.77-2.95
W 0.6667 0.3333 0.5000  2 W 2.46, 6 Pt 2.68
W 0.2009 0.2009 0.7500  6 W 2.73-2.93, 4 Pt 2.77-2.95
W 0.0000 0.7991 0.7500  6 W 2.73-2.93, 4 Pt 2.77-2.95
W 0.3333 0.6667 0.0000  2 W 2.46, 6 Pt 2.68
W 0.0000 0.2009 0.2500  6 W 2.73-2.93, 4 Pt 2.77-2.95
W 0.7991 0.7991 0.2500  6 W 2.73-2.93, 4 Pt 2.77-2.95
W 0.3333 0.6667 0.5000  2 W 2.46, 6 Pt 2.68
W 0.2009 0.0000 0.2500  6 W 2.73-2.93, 4 Pt 2.77-2.95
Pt 0.5922 0.0000 0.2500  8 W 2.68-2.95, 2 Pt 2.86
Pt 0.4078 0.0000 0.7500  8 W 2.68-2.95, 2 Pt 2.86
Pt 0.0000 0.4078 0.7500  8 W 2.68-2.95, 2 Pt 2.86
Pt 0.5922 0.5922 0.7500  8 W 2.68-2.95, 2 Pt 2.86
Pt 0.0000 0.5922 0.2500  8 W 2.68-2.95, 2 Pt 2.86
Pt 0.4078 0.4078 0.2500  8 W 2.68-2.95, 2 Pt 2.86

Results
spin magnetization: 0.00 μB/f.u.
space group: P6_3/mcm
energy: -164.6 eV for the cell shown
energy of formation: 0.07 eV per atom

Density functional theory data (GGA-PBE) for crystalline BaFe2Tc at its relaxed geometry.

abc: 4.9834 4.9834 8.5638
angles: 73.08 73.08 90.00
With the nearest neighbours (Å) after each atom.
Fractional positions:
Fe 0.3750 0.6250 0.7500  2 Tc 2.32, 2 Fe 2.49
Fe 0.8750 0.6250 0.7500  2 Tc 2.32, 2 Fe 2.49
Fe 0.3750 0.1250 0.2500  2 Tc 2.32, 2 Fe 2.49
Fe 0.3750 0.6250 0.2500  2 Tc 2.32, 2 Fe 2.49
Tc 0.2500 0.7500 0.5000  4 Fe 2.32
Tc 0.5000 0.5000 0.0000  4 Fe 2.32
Ba 0.7500 0.2500 0.5000  8 Fe 3.40, 4 Tc 3.52
Ba 0.0000 0.0000 0.0000  8 Fe 3.40, 4 Tc 3.52

Results
spin magnetization: 3.28 μB/f.u.
space group: I4_1/amd
energy: -51.2 eV for the cell shown
energy of formation: 0.90 eV per atom

Density functional theory data (GGA-PBE) for crystalline CsLa2Tc at its relaxed geometry.

abc: 5.4622 5.4622 5.4622
angles: 60.00 60.00 60.00
With the nearest neighbours (Å) after each atom.
Fractional positions:
La 0.2500 0.2500 0.2500  4 Tc 3.34, 4 Cs 3.34
La 0.7500 0.7500 0.7500  4 Cs 3.34, 4 Tc 3.34
Tc 0.0000 0.0000 0.0000  8 La 3.34
Cs 0.5000 0.5000 0.5000  8 La 3.34

Results
spin magnetization: 0.00 μB/f.u.
space group: Fm-3m
energy: -18.0 eV for the cell shown
energy of formation: 0.76 eV per atom

Density functional theory data (GGA-PBE) for crystalline ZrGaOs at its relaxed geometry.

abc: 3.2464 11.1258 5.9408
angles: 90.00 90.00 90.00
With the nearest neighbours (Å) after each atom.
Fractional positions:
Zr 0.0000 0.8434 0.5000  4 Os 2.81, 4 Ga 2.89-2.99
Zr 0.5000 0.6566 0.0000  4 Os 2.81, 4 Ga 2.89-2.99
Zr 0.0000 0.1566 0.5000  4 Os 2.81, 4 Ga 2.89-2.99
Zr 0.5000 0.3434 0.0000  4 Os 2.81, 4 Ga 2.89-2.99
Ga 0.5000 0.3711 0.5000  4 Os 2.63, 1 Ga 2.87, 2 Zr 2.89
Ga 0.0000 0.8711 0.0000  4 Os 2.63, 1 Ga 2.87, 2 Zr 2.89
Ga 0.0000 0.1289 0.0000  4 Os 2.63, 1 Ga 2.87, 2 Zr 2.89
Ga 0.5000 0.6289 0.5000  4 Os 2.63, 1 Ga 2.87, 2 Zr 2.89
Os 0.0000 0.5000 0.7500  4 Ga 2.63, 4 Zr 2.81
Os 0.0000 0.5000 0.2500  4 Ga 2.63, 4 Zr 2.81
Os 0.5000 0.0000 0.7500  4 Ga 2.63, 4 Zr 2.81
Os 0.5000 0.0000 0.2500  4 Ga 2.63, 4 Zr 2.81

Results
spin magnetization: 0.00 μB/f.u.
space group: Immm
energy: -96.0 eV for the cell shown
energy of formation: -0.40 eV per atom

Density functional theory data (GGA-PBE) for crystalline RbTi2Se at its relaxed geometry.

abc: 4.8496 4.8496 10.1166
angles: 76.13 76.13 90.00
With the nearest neighbours (Å) after each atom.
Fractional positions:
Rb 0.0000 0.0000 0.0000  4 Se 3.43, 8 Ti 3.61
Rb 0.7500 0.2500 0.5000  4 Se 3.43, 8 Ti 3.61
Ti 0.8750 0.6250 0.7500  2 Ti 2.42, 2 Se 2.67
Ti 0.3750 0.6250 0.7500  2 Ti 2.42, 2 Se 2.67
Ti 0.3750 0.1250 0.2500  2 Ti 2.42, 2 Se 2.67
Ti 0.3750 0.6250 0.2500  2 Ti 2.42, 2 Se 2.67
Se 0.2500 0.7500 0.5000  4 Ti 2.67
Se 0.5000 0.5000 0.0000  4 Ti 2.67

Results
spin magnetization: 0.00 μB/f.u.
E_form (uncorrected): 279 meV per atom
space group: I4_1/amd
energy: -38.3 eV for the cell shown

Density functional theory data (GGA-PBE) for crystalline LiZnSi2 at its relaxed geometry.

abc: 3.3284 3.3284 5.7695
angles: 90.00 90.00 90.00
With the nearest neighbours (Å) after each atom.
Fractional positions:
Si 0.0000 0.0000 0.4677  1 Si 2.51, 4 Zn 2.67
Si 0.0000 0.0000 0.0323  1 Si 2.51, 4 Zn 2.67
Li 0.5000 0.5000 0.7500  8 Si 2.86, 2 Zn 2.88
Zn 0.5000 0.5000 0.2500  8 Si 2.67, 2 Li 2.88

Results
spin magnetization: 0.00 μB/f.u.
E_form (uncorrected): 180 meV per atom
space group: P4/mmm
energy: -13.3 eV for the cell shown

What is the formula in the fifth record? ZrGaOs

Look up the energy of the sixth one. -38.3 eV for the cell shown

What is the formula in the fourth record? CsLa2Tc

Which formula does entry 5 have? ZrGaOs